Record 1
This record from Alexandria describes an optimized crystal structure of SrHgPb2. The functional is PBE.

Calculated values
formation energy	-1.3	eV per formula unit
total magnetic moment	0.00	μB/f.u.

Geometry as POSCAR:
```
SrHgPb2
1.0
4.8632 0.0000 0.0000
0.0000 4.9403 -0.3729
0.0000 -1.7753 10.8912
Pb Hg Sr
4 2 2
Cartesian
1.2158 -0.9784 10.3202 Pb
1.2158 0.2787 5.3275 Pb
3.6474 2.8864 5.1908 Pb
3.6474 4.1435 0.1981 Pb
1.2158 2.7426 7.2365 Hg
3.6474 0.4224 3.2818 Hg
1.2158 2.6839 2.3040 Sr
3.6474 0.4812 8.2143 Sr
```



Record 2
This record from Alexandria describes an optimized crystal structure of TlZn2Ru. The functional is PBE.

Calculated values
formation energy	0.9	eV per formula unit
total magnetic moment	0.00	μB/f.u.

Geometry as POSCAR:
```
TlZn2Ru
1.0
-0.3865 1.3567 3.0895
-3.3627 0.1025 -0.4657
-0.4854 -5.4088 2.3144
Zn Ru Tl
2 1 1
Cartesian
-2.0019 -0.6883 1.9186 Zn
-0.0158 -0.1761 0.0754 Zn
-0.2257 -2.5142 1.0758 Ru
-2.2341 -3.2754 3.0256 Tl
```



Record 3
This record from Alexandria describes an optimized crystal structure of Ac2ErTe3Rh4. The functional is PBE.

Calculated values
uncorrected formation energy	-0.872	eV/atom
total magnetic moment	0.60	μB/f.u.

Geometry as POSCAR:
```
Ac2ErTe3Rh4
1.0
-0.5341 -1.6184 4.2130
1.4051 -4.0911 -1.3935
10.6804 2.8358 2.4435
Rh Ac Te Er
4 2 3 1
Cartesian
6.5456 0.9997 3.6651 Rh
0.0000 0.0000 0.0000 Rh
4.5703 -1.0186 0.1881 Rh
0.4355 -2.8548 1.4097 Rh
8.9842 0.1533 1.1979 Ac
2.1318 -0.1723 2.6553 Ac
9.0247 1.6579 4.2322 Te
5.3402 1.4179 1.2217 Te
2.0913 -1.6768 -0.3790 Te
5.7757 -1.4369 2.6315 Er
```



Record 4
This record from Alexandria describes an optimized crystal structure of Rb2AlAgH6. The functional is PBE.

Calculated values
uncorrected energy	-29.84	eV for the cell shown
total magnetic moment	0.00	μB/f.u.

Geometry as POSCAR:
```
Rb2AlAgH6
1.0
5.7070 0.4347 0.0000
0.4347 5.7070 -0.0001
-3.0710 -3.0709 4.3545
H Al Ag Rb
6 1 1 2
Cartesian
1.8383 1.8410 4.3540 H
-1.8380 -1.8353 4.3539 H
1.2667 -1.2638 4.3537 H
-1.2665 1.2694 4.3537 H
3.0710 3.0735 2.6117 H
0.0003 0.0029 1.7419 H
2.6362 -2.6333 4.3538 Al
-0.0001 0.0029 4.3516 Ag
0.2175 2.8563 2.1762 Rb
2.8537 0.2202 2.1764 Rb
```



Record 5
This record from Alexandria describes an optimized crystal structure of Sn2HgH. The functional is PBE.

Calculated values
uncorrected energy	-20.72	eV for the cell shown
total magnetic moment	0.00	μB/f.u.

Geometry as POSCAR:
```
Sn2HgH
1.0
-4.1313 -3.1611 1.5873
2.6069 -1.0714 4.6514
-3.6939 3.1492 5.9752
Hg Sn H
2 4 2
Cartesian
-4.2937 -1.0641 5.3409 Hg
0.0000 0.0000 0.0000 Hg
-3.0167 0.6410 7.4015 Sn
-2.6640 -0.9278 2.8691 Sn
-4.4296 -1.2078 9.3596 Sn
-0.3262 -0.6720 4.7975 Sn
-0.7622 -2.1162 3.1193 H
-0.9246 -0.0192 6.8730 H
```



Record 6
This record from Alexandria describes an optimized crystal structure of Zn2CrW. The functional is PBE.

Calculated values
formation energy	1.2	eV per formula unit
total magnetic moment	0.00	μB/f.u.

Geometry as POSCAR:
```
Zn2CrW
1.0
-0.3348 -0.8214 2.4451
0.3629 -3.9629 -1.2816
5.0868 0.2169 0.7695
Zn Cr W
2 1 1
Cartesian
0.0363 0.0015 0.0055 Zn
2.5070 0.1069 0.3792 Zn
1.2857 -2.3379 0.7741 Cr
3.8291 -2.2294 1.1589 W
```



Record 7
This record from Alexandria describes an optimized crystal structure of Ac3Pm2Sm2. The functional is PBE.

Calculated values
formation energy	0.4	eV per formula unit
total magnetic moment	0.00	μB/f.u.

Geometry as POSCAR:
```
Ac3Pm2Sm2
1.0
5.6232 0.0000 0.7463
0.0000 3.7573 0.0000
1.1477 0.0000 12.9105
Ac Sm Pm
3 2 2
Cartesian
1.6519 0.0000 9.1119 Ac
5.1190 0.0000 4.5448 Ac
0.0000 0.0000 0.0000 Ac
2.0974 1.8786 5.7547 Sm
4.6735 1.8786 7.9020 Sm
4.2015 1.8786 11.4586 Pm
2.5694 1.8786 2.1981 Pm
```



Record 8
This record from Alexandria describes an optimized crystal structure of WBr2Cl. The functional is PBE.

Calculated values
uncorrected formation energy	0.436	eV/atom
total magnetic moment	0.00	μB/f.u.

Geometry as POSCAR:
```
WBr2Cl
1.0
3.1569 0.0000 0.0000
0.0000 3.1569 0.0000
0.0000 0.0000 8.1623
Br Cl W
2 1 1
Cartesian
0.0000 0.0000 4.5161 Br
0.0000 0.0000 7.7273 Br
1.5784 1.5784 2.0406 Cl
1.5784 1.5784 6.1217 W
```



Record 9
This record from Alexandria describes an optimized crystal structure of U2GeMo. The functional is PBE.

Calculated values
formation energy	1.3	eV per formula unit
total magnetic moment	3.78	μB/f.u.

Geometry as POSCAR:
```
U2GeMo
1.0
-1.3084 -3.3828 -3.2813
2.8933 -0.9401 -3.8298
2.4316 -4.2378 -0.2460
Ge Mo U
1 1 2
Cartesian
0.0000 0.0000 0.0000 Ge
2.0082 -4.2803 -3.6785 Mo
3.0121 -6.4201 -5.5181 U
1.0044 -2.1406 -1.8390 U
```



Record 10
This record from Alexandria describes an optimized crystal structure of CsSrRuO4. The functional is PBE.

Calculated values
uncorrected formation energy	-1.596	eV/atom
total magnetic moment	1.02	μB/f.u.

Geometry as POSCAR:
```
CsSrRuO4
1.0
-3.0261 3.8774 4.1616
3.6837 -1.9327 4.4793
5.9822 4.3048 -3.0622
O Cs Sr Ru
8 2 2 2
Cartesian
2.5915 1.0034 4.5588 O
4.8397 2.6976 3.4409 O
4.0483 5.2461 1.0200 O
1.8001 3.5518 2.1379 O
1.3483 6.5428 2.0164 O
5.2915 -0.2934 3.5624 O
2.9234 5.7164 3.9317 O
3.7164 0.5330 1.6471 O
6.1740 5.4587 3.5350 Cs
0.4658 0.7907 2.0438 Cs
3.0710 3.6420 5.3029 Sr
3.5688 2.6074 0.2758 Sr
2.6385 5.1475 2.1369 Ru
4.0013 1.1019 3.4418 Ru
```



Record 11
This record from Alexandria describes an optimized crystal structure of SrBe2Se. The functional is PBE.

Calculated values
uncorrected formation energy	-0.182	eV/atom
total magnetic moment	0.00	μB/f.u.

Geometry as POSCAR:
```
SrBe2Se
1.0
-1.8129 0.4303 -5.2761
2.2730 -1.0531 -5.0034
-1.4243 -3.9028 0.1100
Sr Be Se
1 2 1
Cartesian
-0.2411 -1.1314 -2.5424 Sr
-0.8225 -3.2650 -5.4366 Be
-0.6239 -3.5235 -9.8177 Be
-0.7232 -3.3942 -7.6271 Se
```



Record 12
This record from Alexandria describes an optimized crystal structure of BaCr2SnI. The functional is PBE.

Calculated values
uncorrected formation energy	1.574	eV/atom
total magnetic moment	10.11	μB/f.u.

Geometry as POSCAR:
```
BaCr2SnI
1.0
-0.0354 -5.9117 1.8790
-1.3334 -1.9261 -6.0851
6.0720 -0.4173 -1.1985
Ba Sn I Cr
1 1 1 2
Cartesian
0.0000 0.0000 0.0000 Ba
-0.6667 -0.9631 -3.0425 Sn
2.3516 -4.1275 -2.7023 I
-0.0177 -2.9559 0.9395 Cr
3.0360 -0.2086 -0.5992 Cr
```